Entry 1:
DFT (GGA-PBE) results for a geometry-optimized Sc2MnP structure.

extended XYZ file:
```
4
Lattice="-2.886 -0.665 -0.526 0.304 -2.553 1.561 -1.955 3.569 6.218" Properties=species:S:1:pos:R:3 pbc="T T T"
Sc -1.832 3.343 5.826
Sc -1.901 -0.495 2.458
Mn -1.093 1.995 3.476
P -2.644 0.860 4.820
```

Output
* density: 4.34 g cm⁻³
* ΔH_f (0 K): -417.5 meV per atom
* volume: 16.8 Å³/atom
* space group: P4mm (99)

Entry 2:
DFT (GGA-PBE) results for a geometry-optimized K2LaBr structure.

extended XYZ file:
```
4
Lattice="8.208 -0.005 0.006 4.482 6.877 -0.006 -5.334 -5.304 3.286" Properties=species:S:1:pos:R:3 pbc="T T T"
Br 2.902 2.589 1.640
K 0.783 0.424 0.000
K 4.525 -0.982 1.646
La 5.492 2.974 0.000
```

Output
* formation energy (no corrections): -0.396 eV per atom
* density: 2.66 g cm⁻³
* volume: 46.3 Å³/atom
* ΔE to the lowest computed polymorph: 161 meV/atom
* space group: Imm2 (44)

Entry 3:
DFT (GGA-PBE) results for a geometry-optimized Nb6Al3V structure.

extended XYZ file:
```
20
Lattice="5.038 0.000 0.018 0.000 7.866 0.000 0.052 0.000 9.051" Properties=species:S:1:pos:R:3 pbc="T T T"
Nb 2.880 1.305 8.565
Nb 2.819 1.364 5.052
Nb 3.321 3.324 2.344
Nb 1.769 4.542 6.725
Nb 2.271 6.502 4.016
Nb 2.209 6.561 0.503
Nb 0.335 2.628 4.031
Nb 0.274 2.569 0.518
Nb 0.828 0.609 6.860
Nb 4.262 7.256 2.208
Nb 4.815 5.297 8.551
Nb 4.754 5.238 5.037
Al 3.333 7.006 6.809
Al 2.519 3.933 0.009
Al 1.756 0.860 2.259
Al 0.788 4.793 2.275
Al 0.026 0.000 4.525
Al 4.301 3.073 6.794
V 2.545 3.933 4.534
V 0.000 0.000 0.000
```

Output
* density: 6.38 g cm⁻³
* ΔH_f (0 K): 86.4 meV per atom
* volume: 17.9 Å³/atom
* space group: P2_1/c (14)

Entry 4:
DFT (GGA-PBE) results for a geometry-optimized ErMnFe2 structure.

extended XYZ file:
```
16
Lattice="7.711 -3.359 0.000 -3.404 7.697 0.000 0.000 0.000 6.111" Properties=species:S:1:pos:R:3 pbc="T T T"
Er -0.851 1.924 3.821
Er 1.302 4.093 0.767
Er 5.158 2.414 2.290
Er 3.005 0.245 5.344
Mn 1.302 4.093 3.822
Mn 3.004 0.245 2.290
Mn -0.851 1.924 0.772
Mn 5.158 2.414 5.339
Fe 0.000 0.000 0.000
Fe 2.153 2.169 3.056
Fe -0.607 4.906 4.595
Fe 4.914 -0.568 1.516
Fe 3.212 3.281 4.595
Fe 1.095 1.057 1.516
Fe -1.702 3.849 0.000
Fe 3.856 -1.680 3.056
```

Output
* density: 7.57 g cm⁻³
* ΔH_f (0 K): 583.4 meV per atom
* volume: 18.3 Å³/atom
* space group: P2/c (13)

Entry 5:
DFT (GGA-PBE) results for a geometry-optimized PmHo4Zn structure.

extended XYZ file:
```
12
Lattice="6.142 -0.641 0.000 -2.417 8.646 0.000 -1.863 -4.002 6.785" Properties=species:S:1:pos:R:3 pbc="T T T"
Pm 0.327 4.163 1.353
Pm 1.536 -0.160 5.432
Ho -1.637 -1.719 5.307
Ho 1.792 3.132 4.326
Ho -1.434 2.039 5.307
Ho -1.138 5.194 4.326
Ho 3.000 -1.191 2.459
Ho 3.297 1.963 1.478
Ho 0.071 0.871 2.459
Ho 3.500 5.721 1.478
Zn -2.744 4.483 6.781
Zn 4.607 -0.481 0.004
```

Output
* density: 8.26 g cm⁻³
* ΔH_f (0 K): -1.2 meV per atom
* volume: 29.1 Å³/atom
* ΔE to the lowest computed polymorph: 96 meV/atom
* space group: C2/c (15)

Entry 6:
DFT (GGA-PBE) results for a geometry-optimized Al2TeSe structure.

extended XYZ file:
```
4
Lattice="-0.919 1.094 3.746 -2.179 -2.437 2.322 4.505 -3.279 4.143" Properties=species:S:1:pos:R:3 pbc="T T T"
Te 0.352 -1.155 2.553
Al 4.416 -3.232 4.105
Al 0.792 -2.358 5.144
Se 1.055 -3.466 7.658
```

Output
* formation energy (no corrections): -0.286 eV per atom
* density: 4.73 g cm⁻³
* volume: 22.9 Å³/atom
* ΔE to the lowest computed polymorph: 64 meV/atom
* space group: C2/m (12)

Entry 7:
DFT (GGA-PBE) results for a geometry-optimized BeCdCl2 structure.

extended XYZ file:
```
8
Lattice="6.651 0.000 0.000 0.000 6.651 0.000 3.326 3.326 4.611" Properties=species:S:1:pos:R:3 pbc="T T T"
Be 3.326 3.326 0.000
Be 3.326 6.651 2.305
Cl 2.958 1.663 1.153
Cl 3.694 4.989 1.153
Cl 4.989 7.019 3.458
Cl 8.314 6.283 3.458
Cd 0.000 0.000 0.000
Cd 6.651 3.326 2.305
```

Output
* formation energy (no corrections): -0.716 eV per atom
* density: 3.13 g cm⁻³
* volume: 25.5 Å³/atom
* ΔE to the lowest computed polymorph: 190 meV/atom
* space group: I-42d (122)

Entry 8:
DFT (GGA-PBE) results for a geometry-optimized Ca2CePmAs4 structure.

extended XYZ file:
```
8
Lattice="-0.542 -1.464 3.963 7.248 0.719 1.257 -3.446 6.161 1.804" Properties=species:S:1:pos:R:3 pbc="T T T"
Ca -1.994 2.349 2.884
Ca 1.901 3.440 1.531
Ce 0.000 0.000 0.000
Pm 3.353 -0.372 2.610
As 0.660 0.901 2.712
As 2.600 4.516 4.313
As -0.812 4.857 1.683
As 4.614 2.024 1.378
```

Output
* density: 5.12 g cm⁻³
* ΔH_f (0 K): -1240.0 meV per atom
* volume: 27.0 Å³/atom
* space group: P2/m (10)

Entry 9:
DFT (GGA-PBE) results for a geometry-optimized Y3AlCd structure.

extended XYZ file:
```
5
Lattice="-4.428 0.793 -3.190 2.667 -2.262 -4.265 -1.922 -4.967 1.432" Properties=species:S:1:pos:R:3 pbc="T T T"
Y 1.333 -1.131 -2.132
Y -0.961 -2.484 0.716
Y -2.214 0.397 -1.595
Al 0.000 0.000 0.000
Cd -1.842 -3.218 -3.011
```

Output
* density: 4.02 g cm⁻³
* ΔH_f (0 K): 234.1 meV per atom
* volume: 33.5 Å³/atom
* ΔE to the lowest computed polymorph: 530 meV/atom
* space group: Pm-3m (221)

Entry 10:
DFT (GGA-PBE) results for a geometry-optimized Ho2AgTeS3 structure.

extended XYZ file:
```
14
Lattice="8.084 0.071 0.051 3.964 7.046 0.051 3.964 2.342 6.646" Properties=species:S:1:pos:R:3 pbc="T T T"
Ho 0.000 0.000 0.000
Ho 4.042 0.035 0.025
Ho 1.982 3.523 0.025
Ho 1.982 1.171 3.323
Ag 6.515 3.848 2.745
Ag 9.498 5.610 4.002
Te 11.769 6.951 4.958
Te 4.244 2.507 1.788
S 7.746 7.144 5.096
S 9.996 3.335 5.096
S 9.996 5.904 1.494
S 8.267 2.314 1.651
S 6.017 6.123 1.651
S 6.017 3.554 5.253
```

Output
* formation energy (no corrections): -1.287 eV per atom
* density: 5.86 g cm⁻³
* volume: 26.8 Å³/atom
* space group: R-3m (166)

Entry 11:
DFT (GGA-PBE) results for a geometry-optimized AlTePCl2 structure.

extended XYZ file:
```
5
Lattice="4.530 0.000 0.000 0.000 4.530 0.000 0.000 0.000 5.353" Properties=species:S:1:pos:R:3 pbc="T T T"
P 0.000 0.000 2.676
Te 2.265 2.265 2.676
Al 0.000 0.000 0.000
Cl 0.000 2.265 0.000
Cl 2.265 0.000 0.000
```

Output
* formation energy (no corrections): -0.205 eV per atom
* density: 3.88 g cm⁻³
* volume: 22.0 Å³/atom
* ΔE to the lowest computed polymorph: 0 meV/atom
* space group: P4/mmm (123)

Entry 12:
DFT (GGA-PBE) results for a geometry-optimized SrCrNi structure.

extended XYZ file:
```
6
Lattice="6.143 -0.116 0.134 -2.274 4.950 -0.075 -1.593 -3.603 4.720" Properties=species:S:1:pos:R:3 pbc="T T T"
Sr 1.816 -0.182 1.980
Sr -1.148 -1.518 3.737
Ni 3.526 2.291 0.490
Ni -1.264 1.295 1.793
Cr 2.547 4.359 0.406
Cr -0.282 1.770 3.810
```

Output
* density: 4.61 g cm⁻³
* ΔH_f (0 K): 378.4 meV per atom
* volume: 23.8 Å³/atom
* ΔE to the lowest computed polymorph: 58 meV/atom
* space group: Cm (8)

Entry 13:
DFT (GGA-PBE) results for a geometry-optimized KIr structure.

extended XYZ file:
```
2
Lattice="-1.214 0.127 2.460 -2.200 -1.289 -1.019 2.185 -4.777 1.326" Properties=species:S:1:pos:R:3 pbc="T T T"
Ir 0.000 0.000 0.000
K -0.615 -2.969 1.383
```

Output
* density: 9.40 g cm⁻³
* ΔH_f (0 K): 890.9 meV per atom
* volume: 20.4 Å³/atom
* ΔE to the lowest computed polymorph: 525 meV/atom
* space group: P4/mmm (123)

Entry 14:
DFT (GGA-PBE) results for a geometry-optimized CrNi8H4 structure.

extended XYZ file:
```
13
Lattice="2.491 0.000 0.539 1.104 6.291 0.921 -0.166 0.127 6.785" Properties=species:S:1:pos:R:3 pbc="T T T"
Cr 1.126 0.134 6.839
Ni 0.670 2.154 2.925
Ni 2.081 4.268 2.430
Ni 1.441 2.162 5.387
Ni 2.852 4.277 4.892
Ni 2.081 0.050 2.431
Ni 1.136 4.389 6.794
Ni 0.337 0.090 4.463
Ni 2.386 2.043 1.021
H 1.760 5.254 3.911
H 2.547 3.221 6.298
H 0.975 3.210 1.518
H 1.762 1.177 3.905
```

Output
* calculated total energy: -0.393 Ry/atom
* density: 8.18 g cm⁻³
* volume: 8.2 Å³/atom
* space group: C2/m (12)

Entry 15:
DFT (GGA-PBE) results for a geometry-optimized Ba5Na2Zn2In structure.

extended XYZ file:
```
20
Lattice="4.261 0.000 0.000 0.000 14.379 0.000 0.000 0.000 14.379" Properties=species:S:1:pos:R:3 pbc="T T T"
Ba 2.131 2.860 0.824
Ba 2.131 11.519 13.554
Ba 2.131 0.824 11.519
Ba 2.131 10.049 6.365
Ba 2.131 13.554 2.860
Ba 2.131 4.330 8.014
Ba 2.131 8.014 10.049
Ba 2.131 6.365 4.330
Ba 2.131 7.189 0.000
Ba 2.131 0.000 7.189
Na 0.000 9.859 2.670
Na 0.000 4.520 11.709
Na 0.000 2.670 4.520
Na 0.000 11.709 9.859
Zn 0.000 1.898 9.088
Zn 0.000 12.480 5.291
Zn 0.000 9.088 12.480
Zn 0.000 5.291 1.898
In 0.000 0.000 0.000
In 0.000 7.189 7.189
```

Output
* density: 3.69 g cm⁻³
* ΔH_f (0 K): -124.2 meV per atom
* volume: 44.1 Å³/atom
* space group: P4/mbm (127)

Entry 16:
DFT (GGA-PBE) results for a geometry-optimized Ta2CuIr structure.

extended XYZ file:
```
4
Lattice="5.078 0.008 0.000 2.156 4.597 0.000 -3.617 -2.303 2.720" Properties=species:S:1:pos:R:3 pbc="T T T"
Cu 3.617 2.303 0.000
Ir 2.539 0.004 1.360
Ta 0.000 0.000 0.000
Ta 1.078 2.299 1.360
```

Output
* density: 16.17 g cm⁻³
* ΔH_f (0 K): -122.9 meV per atom
* volume: 15.9 Å³/atom
* space group: I-4m2 (119)